Crystalline Co3SbO at its relaxed geometry. Source: the Alexandria database, functional PBE with a Hubbard U.

Cell lengths 4.035, 4.035, 4.035 Å; angles 90.00, 90.00, 90.00 degrees
Sites, in units of the cell vectors:
Sb  0.500  0.500  0.500
Co  0.000  0.500  0.000
Co  0.000  0.000  0.500
Co  0.500  0.000  0.000
O  0.000  0.000  0.000

* D(E_F): 0.3561 states/eV per atom
* VASP energy: -23.0 eV/cell
* space-group type: Pm-3m